# YEr3Th2Bi6, relaxed, DFT GGA-PBE
# * energy relative to the elements: -0.74 eV per atom
# * volume: 32.3 Å³ per atom
# * ρ: 9.88 g/cm³
# * raw total energy: -67.204 eV/f.u.
data_YEr3Th2Bi6
_chemical_formula_sum 'Y2 Er6 Th4 Bi12'
_space_group_name_H-M_alt 'C 1 2/m 1'
_space_group_IT_number 12
_cell_length_a 19.6190
_cell_length_b 4.5140
_cell_length_c 8.9974
_cell_angle_alpha 90.00
_cell_angle_beta 103.12
_cell_angle_gamma 90.00
loop_
_space_group_symop_operation_xyz
'x,y,z'
'-x,-y,-z'
'-x,y,-z'
'x,-y,z'
'x+1/2,y+1/2,z'
'-x+1/2,-y+1/2,-z'
'-x+1/2,y+1/2,-z'
'x+1/2,-y+1/2,z'
loop_
_atom_site_label
_atom_site_fract_x
_atom_site_fract_y
_atom_site_fract_z
Y1 0.0000 0.0000 0.0000
Er1 0.0000 0.0000 0.5000
Er2 0.1672 0.5000 0.8338
Th1 0.1650 0.5000 0.3308
Bi1 0.0033 0.5000 0.7496
Bi2 0.1645 0.0000 0.5896
Bi3 0.1669 0.0000 0.0750